Computed, not measured: a geometry-optimized Tb4AlTlHg2 structure at the PBE level of DFT. Values from VASP.

```
&SYSTEM
  ibrav = 0, nat = 8, ntyp = 4
/
ATOMIC_SPECIES
Tb 158.93 Tb.upf
Al 26.98 Al.upf
Tl 204.38 Tl.upf
Hg 200.59 Hg.upf
CELL_PARAMETERS angstrom
2.637 1.523 8.653
-2.637 1.523 8.653
0.000 -3.045 8.653
ATOMIC_POSITIONS crystal
Tb 0.122 0.122 0.122
Tb 0.372 0.372 0.372
Tb 0.628 0.628 0.628
Tb 0.878 0.878 0.878
Al 0.000 0.000 0.000
Tl 0.500 0.500 0.500
Hg 0.251 0.251 0.251
Hg 0.749 0.749 0.749
```

Symmetry: R-3m, No. 166
E_tot, eV/atom: -3.5690



Computed, not measured: a geometry-optimized TbTmAlHg structure at the PBE level of DFT. Values from VASP.

```
&SYSTEM
  ibrav = 0, nat = 16, ntyp = 4
/
ATOMIC_SPECIES
Tb 158.93 Tb.upf
Tm 168.93 Tm.upf
Al 26.98 Al.upf
Hg 200.59 Hg.upf
CELL_PARAMETERS angstrom
7.331 0.000 0.000
0.000 7.331 0.000
0.000 0.000 7.331
ATOMIC_POSITIONS crystal
Tb 0.000 0.000 0.000
Tb 0.000 0.500 0.500
Tb 0.500 0.000 0.500
Tb 0.500 0.500 0.000
Tm 0.000 0.000 0.500
Tm 0.000 0.500 0.000
Tm 0.500 0.000 0.000
Tm 0.500 0.500 0.500
Al 0.250 0.250 0.250
Al 0.250 0.750 0.750
Al 0.750 0.250 0.750
Al 0.750 0.750 0.250
Hg 0.250 0.250 0.750
Hg 0.250 0.750 0.250
Hg 0.750 0.250 0.250
Hg 0.750 0.750 0.750
```

Polymorph energy (0 for the lowest one), meV/atom: 36
Symmetry: F-43m, No. 216
E_tot, eV/atom: -3.6820



Computed, not measured: a geometry-optimized TbTmAlHg structure at the PBE level of DFT. Values from VASP.

```
&SYSTEM
  ibrav = 0, nat = 4, ntyp = 4
/
ATOMIC_SPECIES
Tb 158.93 Tb.upf
Tm 168.93 Tm.upf
Al 26.98 Al.upf
Hg 200.59 Hg.upf
CELL_PARAMETERS angstrom
3.604 0.000 0.000
0.000 3.604 0.000
0.000 0.000 7.484
ATOMIC_POSITIONS crystal
Tb 0.000 0.000 0.000
Tm 0.000 0.000 0.519
Al 0.500 0.500 0.755
Hg 0.500 0.500 0.273
```

Polymorph energy (0 for the lowest one), meV/atom: 0
Symmetry: P4mm, No. 99
E_tot, eV/atom: -3.7179



Computed, not measured: a geometry-optimized Tb4AlZn2Hg structure at the PBE level of DFT. Values from VASP.

```
&SYSTEM
  ibrav = 0, nat = 8, ntyp = 4
/
ATOMIC_SPECIES
Tb 158.93 Tb.upf
Al 26.98 Al.upf
Zn 65.41 Zn.upf
Hg 200.59 Hg.upf
CELL_PARAMETERS angstrom
2.568 1.483 8.426
-2.568 1.483 8.426
0.000 -2.966 8.426
ATOMIC_POSITIONS crystal
Tb 0.123 0.123 0.123
Tb 0.373 0.373 0.373
Tb 0.627 0.627 0.627
Tb 0.877 0.877 0.877
Al 0.000 0.000 0.000
Zn 0.252 0.252 0.252
Zn 0.748 0.748 0.748
Hg 0.500 0.500 0.500
```

Symmetry: R-3m, No. 166
E_tot, eV/atom: -3.5242



no.,formation enthalpy at 0 K (eV per atom)
1,-0.4148
2,-0.3954
3,-0.4313
4,-0.3850